DFT (PBE with a Hubbard U) results for a relaxed structure of V2CoPbO8.

Values from the calculation:
space-group type	P-3 (147)
magnetic moment	0.088	μB/atom
crystal system	trigonal
total DFT energy (no corrections)	-6.671	eV/atom

Geometry as POSCAR:
```
V2CoPbO8
1.0
-4.0842 -2.4654 2.0276
3.8033 1.6903 3.0901
-3.2983 6.0714 0.7385
V Co Pb O
2 1 1 8
Direct
0.6667 0.3333 0.2772
0.3333 0.6667 0.7228
0.0000 0.0000 0.5000
0.0000 0.0000 0.0000
0.3333 0.6667 0.9652
0.3066 0.2652 0.3387
0.7348 0.0414 0.3387
0.6667 0.3333 0.0348
0.2652 0.9586 0.6613
0.6934 0.7348 0.6613
0.0414 0.3066 0.6613
0.9586 0.6934 0.3387
```